Density functional theory data (PBE) for an optimized crystal structure of MnGe2W.

Lattice parameters (Å, degrees): 2.9379 2.9379 24.1044 90.00 90.00 120.00
Space group R3m (No. 160, hexagonal axes)
Asymmetric unit:
Mn 0.0000 0.0000 0.0000
Ge 0.0000 0.0000 0.2557
Ge 0.0000 0.0000 0.4148
W 0.0000 0.0000 0.8361

Calculated values
- E_form: 203 meV per atom
- DFT total energy: -7.636 eV/atom

---

Density functional theory data (PBE) for an optimized crystal structure of MgPd3Br.

Lattice parameters (Å, degrees): 4.751 4.751 4.751 90.00 90.00 90.00
Space group Pm-3m (No. 221)
Asymmetric unit:
Mg 0.000 0.000 0.000
Pd 0.000 0.000 0.500
Br 0.500 0.500 0.500

Calculated values
- Formation energy from raw total energies: 0.516 eV/atom
- DFT total energy: -3.253 eV/atom

---

Density functional theory data (PBE) for an optimized crystal structure of Be3RePb.

Lattice parameters (Å, degrees): 4.405 4.405 4.405 90.00 90.00 90.00
Space group Pm-3m (No. 221)
Asymmetric unit:
Be 0.000 0.000 0.500
Re 0.000 0.000 0.000
Pb 0.500 0.500 0.500

Calculated values
- E_form: 865 meV per atom
- DFT total energy: -4.602 eV/atom

---

- The lowest DFT total energy belongs to which entry?
  MnGe2W

---

- What is the formula in the third record?
  Be3RePb